Record 1
VASP calculation (PBE) on a geometry-optimized ReMo2Pb structure. Values from VASP.

Structure (Quantum ESPRESSO input):
```
&SYSTEM
  ibrav = 0, nat = 4, ntyp = 3
/
ATOMIC_SPECIES
Mo 95.94 Mo.upf
Re 186.21 Re.upf
Pb 207.20 Pb.upf
CELL_PARAMETERS angstrom
-1.932 -1.159 -2.018
2.989 -2.384 -1.493
-1.447 -4.190 3.793
ATOMIC_POSITIONS crystal
Mo 0.500 0.500 0.208
Re 0.500 0.500 0.802
Mo 0.000 0.000 0.993
Pb 0.000 0.000 0.497
```

Calculated formation energy ... 571 meV/atom

=====

Record 2
VASP calculation (PBE) on a geometry-optimized LiNi2Pt structure. Values from VASP.

Structure (Quantum ESPRESSO input):
```
&SYSTEM
  ibrav = 0, nat = 8, ntyp = 3
/
ATOMIC_SPECIES
Ni 58.69 Ni.upf
Li 6.94 Li.upf
Pt 195.08 Pt.upf
CELL_PARAMETERS angstrom
-1.631 0.285 3.040
1.897 -2.606 1.262
6.164 4.538 4.852
ATOMIC_POSITIONS crystal
Ni 0.622 0.125 0.250
Li 0.500 0.500 0.000
Li 0.250 0.750 0.500
Ni 0.875 0.872 0.750
Ni 0.375 0.378 0.750
Ni 0.128 0.625 0.250
Pt 0.000 0.000 0.000
Pt 0.750 0.250 0.500
```

Calculated formation energy ... 149 meV/atom

=====

Record 3
VASP calculation (PBE) on a geometry-optimized SiNiIr2 structure. Values from VASP.

Structure (Quantum ESPRESSO input):
```
&SYSTEM
  ibrav = 0, nat = 4, ntyp = 3
/
ATOMIC_SPECIES
Si 28.09 Si.upf
Ni 58.69 Ni.upf
Ir 192.22 Ir.upf
CELL_PARAMETERS angstrom
5.138 0.014 -0.002
2.499 4.490 0.002
-3.261 -3.198 2.355
ATOMIC_POSITIONS crystal
Si 0.250 0.750 0.500
Ni 0.750 0.250 0.500
Ir 0.034 0.034 0.000
Ir 0.466 0.466 0.000
```

E_form (uncorrected) ... -0.230 eV per atom

=====

Record 4
VASP calculation (PBE) on a geometry-optimized SrZr3Cd structure. Values from VASP.

Structure (Quantum ESPRESSO input):
```
&SYSTEM
  ibrav = 0, nat = 5, ntyp = 3
/
ATOMIC_SPECIES
Sr 87.62 Sr.upf
Zr 91.22 Zr.upf
Cd 112.41 Cd.upf
CELL_PARAMETERS angstrom
5.421 0.000 0.000
0.000 5.421 0.000
0.000 0.000 5.421
ATOMIC_POSITIONS crystal
Sr 0.500 0.500 0.500
Zr 0.500 0.000 0.000
Cd 0.000 0.000 0.000
Zr 0.000 0.000 0.500
Zr 0.000 0.500 0.000
```

Calculated formation energy ... 928 meV/atom

=====

Table of E_tot (eV per atom), in record order: -8.88, -4.73, -7.46, -4.72